[1]
# TlFe2Se

Crystalline TlFe2Se at its relaxed geometry (PBE, the Alexandria database).

- space-group type = P4/mmm (123)
- distance to the lowest polymorph of the same formula (eV per atom) = 0.365
- N(E_F) (states/eV/cell) = 3.1
- E_form (uncorrected) (eV per atom) = 0.5438

abc: 4.534 4.534 3.361
angles: 90.00 90.00 90.00
Fractional coordinates of all 4 atoms:
Tl: 0.000 0.000 0.000
Fe: 0.000 0.500 0.500
Fe: 0.500 0.000 0.500
Se: 0.500 0.500 0.000

---

[2]
# TlFe2Se

Crystalline TlFe2Se at its relaxed geometry (PBE, the Alexandria database).

- space-group type = Fm-3m (225)
- distance to the lowest polymorph of the same formula (eV per atom) = 0.638
- N(E_F) (states/eV/cell) = 22.5
- E_form (uncorrected) (eV per atom) = 0.8172

abc: 6.251 6.251 6.251
angles: 90.00 90.00 90.00
Fractional coordinates of all 16 atoms:
Tl: 0.000 0.000 0.000
Tl: 0.000 0.500 0.500
Tl: 0.500 0.000 0.500
Tl: 0.500 0.500 0.000
Fe: 0.250 0.250 0.250
Fe: 0.250 0.250 0.750
Fe: 0.250 0.750 0.250
Fe: 0.250 0.750 0.750
Fe: 0.750 0.250 0.250
Fe: 0.750 0.250 0.750
Fe: 0.750 0.750 0.250
Fe: 0.750 0.750 0.750
Se: 0.000 0.000 0.500
Se: 0.000 0.500 0.000
Se: 0.500 0.000 0.000
Se: 0.500 0.500 0.500

---

[3]
# UTlFeSe4

Crystalline UTlFeSe4 at its relaxed geometry (PBE, the Alexandria database).

- space-group type = P2_1/m (11)
- N(E_F) (states/eV/cell) = 17.8
- E_form (uncorrected) (eV per atom) = -0.6352

abc: 6.654 6.240 9.302
angles: 90.00 108.15 90.00
Fractional coordinates of all 14 atoms:
U: 0.250 0.250 0.054
U: 0.750 0.750 0.946
Tl: 0.259 0.250 0.556
Tl: 0.741 0.750 0.444
Fe: 0.243 0.750 0.836
Fe: 0.757 0.250 0.164
Se: 0.019 0.513 0.208
Se: 0.019 0.987 0.208
Se: 0.437 0.750 0.663
Se: 0.438 0.750 0.095
Se: 0.562 0.250 0.905
Se: 0.563 0.250 0.337
Se: 0.981 0.013 0.792
Se: 0.981 0.487 0.792

---

[4]
# U2Tl3FeSe6

Crystalline U2Tl3FeSe6 at its relaxed geometry (PBE, the Alexandria database).

- space-group type = C2/m (12)
- N(E_F) (states/eV/cell) = 18.5
- E_form (uncorrected) (eV per atom) = -0.6706

abc: 6.977 6.977 8.242
angles: 98.18 98.18 119.73
Fractional coordinates of all 12 atoms:
U: 0.165 0.835 0.000
U: 0.835 0.165 0.000
Tl: 0.000 0.000 0.500
Tl: 0.328 0.672 0.500
Tl: 0.672 0.328 0.500
Fe: 0.500 0.500 0.000
Se: 0.118 0.435 0.804
Se: 0.249 0.249 0.203
Se: 0.435 0.118 0.804
Se: 0.565 0.882 0.196
Se: 0.751 0.751 0.797
Se: 0.882 0.565 0.196